Below is an optimized crystal structure of Ba8Re2W3O24, with properties calculated at the PBE+U level.

abc: 19.749 19.749 19.749
angles: 16.95 16.95 16.95
Fractional coordinates of all 37 atoms:
Ba  0.115  0.115  0.115
Ba  0.185  0.185  0.185
Ba  0.271  0.271  0.271
Ba  0.351  0.351  0.351
Ba  0.649  0.649  0.649
Ba  0.729  0.729  0.729
Ba  0.815  0.815  0.815
Ba  0.885  0.885  0.885
Re  0.039  0.039  0.039
Re  0.961  0.961  0.961
W  0.416  0.416  0.416
W  0.500  0.500  0.500
W  0.584  0.584  0.584
O  0.112  0.590  0.590
O  0.132  0.132  0.669
O  0.132  0.669  0.132
O  0.199  0.679  0.679
O  0.223  0.223  0.729
O  0.223  0.729  0.223
O  0.271  0.777  0.777
O  0.321  0.321  0.801
O  0.321  0.801  0.321
O  0.331  0.868  0.868
O  0.410  0.410  0.888
O  0.410  0.888  0.410
O  0.590  0.112  0.590
O  0.590  0.590  0.112
O  0.669  0.132  0.132
O  0.679  0.199  0.679
O  0.679  0.679  0.199
O  0.729  0.223  0.223
O  0.777  0.271  0.777
O  0.777  0.777  0.271
O  0.801  0.321  0.321
O  0.868  0.331  0.868
O  0.868  0.868  0.331
O  0.888  0.410  0.410

## Properties
- Crystal system: trigonal
- Energy: -7.2574 eV/atom
- Total magnetization: 0.013 μB per formula unit
- Symmetry: R-3m, No. 166